Entry 1:
Material: CdI2
Method: DFT, GGA-PBE
State: optimized geometry

Cell lengths 4.2901, 4.2901, 125.5292 Å; angles 90.00, 90.00, 120.00 degrees
Space group R-3m (No. 166, hexagonal axes)
Symmetry-distinct sites (fractional):
Cd 0.0000 0.0000 0.0000 (multiplicity 3)
Cd 0.0000 0.0000 0.1111 (multiplicity 6)
Cd 0.0000 0.0000 0.3889 (multiplicity 6)
Cd 0.0000 0.0000 0.5000 (multiplicity 3)
I 0.0000 0.0000 0.0418 (multiplicity 6)
I 0.0000 0.0000 0.1529 (multiplicity 6)
I 0.0000 0.0000 0.2085 (multiplicity 6)
I 0.0000 0.0000 0.2640 (multiplicity 6)
I 0.0000 0.0000 0.3196 (multiplicity 6)
I 0.0000 0.0000 0.4307 (multiplicity 6)

Summary:
**DFT total energy**: -102.57 eV for the cell shown

Entry 2:
Material: CdI2
Method: DFT, GGA-PBE
State: optimized geometry

Cell lengths 4.2895, 4.2895, 83.0303 Å; angles 90.00, 90.00, 120.00 degrees
Space group R-3m (No. 166, hexagonal axes)
Symmetry-distinct sites (fractional):
Cd 0.0000 0.0000 0.0417 (multiplicity 6)
Cd 0.0000 0.0000 0.4583 (multiplicity 6)
I 0.0000 0.0000 0.1041 (multiplicity 6)
I 0.0000 0.0000 0.1874 (multiplicity 6)
I 0.0000 0.0000 0.2708 (multiplicity 6)
I 0.0000 0.0000 0.3541 (multiplicity 6)

Summary:
**DFT total energy**: -68.31 eV for the cell shown

Entry 3:
Material: CdI2
Method: DFT, GGA-PBE
State: optimized geometry

Cell lengths 4.2907, 4.2907, 83.3444 Å; angles 90.00, 90.00, 120.00 degrees
Space group R-3m (No. 166, hexagonal axes)
Symmetry-distinct sites (fractional):
Cd 0.0000 0.0000 0.0000 (multiplicity 3)
Cd 0.0000 0.0000 0.0833 (multiplicity 6)
Cd 0.0000 0.0000 0.5000 (multiplicity 3)
I 0.0000 0.0000 0.1459 (multiplicity 6)
I 0.0000 0.0000 0.2293 (multiplicity 6)
I 0.0000 0.0000 0.3126 (multiplicity 6)
I 0.0000 0.0000 0.3959 (multiplicity 6)

Summary:
**DFT total energy**: -68.35 eV for the cell shown

Entry 4:
Material: CdI
Method: DFT, GGA-PBE
State: optimized geometry

Cell lengths 6.446, 6.446, 6.446 Å; angles 90.00, 90.00, 90.00 degrees
Space group Fm-3m (No. 225)
Symmetry-distinct sites (fractional):
Cd 0.000 0.000 0.000 (multiplicity 4)
I 0.000 0.000 0.500 (multiplicity 4)

Summary:
**DFT total energy**: -11.18 eV for the cell shown

Entry 5:
Material: CdI2
Method: DFT, GGA-PBE
State: optimized geometry

Cell lengths 4.2946, 4.2946, 83.7513 Å; angles 90.00, 90.00, 120.00 degrees
Space group P3m1 (No. 156)
Symmetry-distinct sites (fractional):
Cd 0.0000 0.0000 0.0000 (multiplicity 1)
Cd 0.0000 0.0000 0.1667 (multiplicity 1)
Cd 0.0000 0.0000 0.3334 (multiplicity 1)
Cd 0.0000 0.0000 0.5000 (multiplicity 1)
Cd 0.0000 0.0000 0.6667 (multiplicity 1)
Cd 0.0000 0.0000 0.8333 (multiplicity 1)
Cd 0.3333 0.6667 0.0834 (multiplicity 1)
Cd 0.3333 0.6667 0.2500 (multiplicity 1)
Cd 0.3333 0.6667 0.4167 (multiplicity 1)
Cd 0.3333 0.6667 0.7500 (multiplicity 1)
Cd 0.6667 0.3333 0.5833 (multiplicity 1)
Cd 0.6667 0.3333 0.9166 (multiplicity 1)
I 0.0000 0.0000 0.1039 (multiplicity 1)
I 0.0000 0.0000 0.2706 (multiplicity 1)
I 0.0000 0.0000 0.4373 (multiplicity 1)
I 0.0000 0.0000 0.5627 (multiplicity 1)
I 0.0000 0.0000 0.7706 (multiplicity 1)
I 0.0000 0.0000 0.8961 (multiplicity 1)
I 0.3333 0.6667 0.0206 (multiplicity 1)
I 0.3333 0.6667 0.1873 (multiplicity 1)
I 0.3333 0.6667 0.3539 (multiplicity 1)
I 0.3333 0.6667 0.5206 (multiplicity 1)
I 0.3333 0.6667 0.6039 (multiplicity 1)
I 0.3333 0.6667 0.6873 (multiplicity 1)
I 0.3333 0.6667 0.8540 (multiplicity 1)
I 0.3333 0.6667 0.9373 (multiplicity 1)
I 0.6667 0.3333 0.0627 (multiplicity 1)
I 0.6667 0.3333 0.1461 (multiplicity 1)
I 0.6667 0.3333 0.2294 (multiplicity 1)
I 0.6667 0.3333 0.3127 (multiplicity 1)
I 0.6667 0.3333 0.3961 (multiplicity 1)
I 0.6667 0.3333 0.4794 (multiplicity 1)
I 0.6667 0.3333 0.6461 (multiplicity 1)
I 0.6667 0.3333 0.7294 (multiplicity 1)
I 0.6667 0.3333 0.8127 (multiplicity 1)
I 0.6667 0.3333 0.9794 (multiplicity 1)

Summary:
**DFT total energy**: -68.40 eV for the cell shown

Entry 6:
Material: CdI2
Method: DFT, GGA-PBE
State: optimized geometry

Cell lengths 4.3037, 4.3037, 252.5734 Å; angles 90.00, 90.00, 120.00 degrees
Space group R3m (No. 160, hexagonal axes)
Symmetry-distinct sites (fractional):
Cd 0.0000 0.0000 0.0000 (multiplicity 3)
Cd 0.0000 0.0000 0.0555 (multiplicity 3)
Cd 0.0000 0.0000 0.1111 (multiplicity 3)
Cd 0.0000 0.0000 0.1666 (multiplicity 3)
Cd 0.0000 0.0000 0.2222 (multiplicity 3)
Cd 0.0000 0.0000 0.2778 (multiplicity 3)
Cd 0.0000 0.0000 0.4722 (multiplicity 3)
Cd 0.0000 0.0000 0.5278 (multiplicity 3)
Cd 0.0000 0.0000 0.5833 (multiplicity 3)
Cd 0.0000 0.0000 0.6389 (multiplicity 3)
Cd 0.0000 0.0000 0.6944 (multiplicity 3)
Cd 0.0000 0.0000 0.7500 (multiplicity 3)
I 0.0000 0.0000 0.0209 (multiplicity 3)
I 0.0000 0.0000 0.0765 (multiplicity 3)
I 0.0000 0.0000 0.1457 (multiplicity 3)
I 0.0000 0.0000 0.2013 (multiplicity 3)
I 0.0000 0.0000 0.2568 (multiplicity 3)
I 0.0000 0.0000 0.3124 (multiplicity 3)
I 0.0000 0.0000 0.3402 (multiplicity 3)
I 0.0000 0.0000 0.3679 (multiplicity 3)
I 0.0000 0.0000 0.3957 (multiplicity 3)
I 0.0000 0.0000 0.4235 (multiplicity 3)
I 0.0000 0.0000 0.4513 (multiplicity 3)
I 0.0000 0.0000 0.5068 (multiplicity 3)
I 0.0000 0.0000 0.5624 (multiplicity 3)
I 0.0000 0.0000 0.6179 (multiplicity 3)
I 0.0000 0.0000 0.6598 (multiplicity 3)
I 0.0000 0.0000 0.7154 (multiplicity 3)
I 0.0000 0.0000 0.7709 (multiplicity 3)
I 0.0000 0.0000 0.7987 (multiplicity 3)
I 0.0000 0.0000 0.8265 (multiplicity 3)
I 0.0000 0.0000 0.8543 (multiplicity 3)
I 0.0000 0.0000 0.8820 (multiplicity 3)
I 0.0000 0.0000 0.9098 (multiplicity 3)
I 0.0000 0.0000 0.9376 (multiplicity 3)
I 0.0000 0.0000 0.9653 (multiplicity 3)

Summary:
**DFT total energy**: -205.37 eV for the cell shown

Entry 7:
Material: CdI2
Method: DFT, GGA-PBE
State: optimized geometry

Cell lengths 4.2907, 4.2907, 97.7230 Å; angles 90.00, 90.00, 120.00 degrees
Space group P3m1 (No. 156)
Symmetry-distinct sites (fractional):
Cd 0.0000 0.0000 0.0000 (multiplicity 1)
Cd 0.0000 0.0000 0.0714 (multiplicity 1)
Cd 0.0000 0.0000 0.2143 (multiplicity 1)
Cd 0.0000 0.0000 0.3571 (multiplicity 1)
Cd 0.0000 0.0000 0.4286 (multiplicity 1)
Cd 0.0000 0.0000 0.5714 (multiplicity 1)
Cd 0.0000 0.0000 0.7143 (multiplicity 1)
Cd 0.0000 0.0000 0.8572 (multiplicity 1)
Cd 0.6667 0.3333 0.1429 (multiplicity 1)
Cd 0.6667 0.3333 0.2857 (multiplicity 1)
Cd 0.6667 0.3333 0.5000 (multiplicity 1)
Cd 0.6667 0.3333 0.6429 (multiplicity 1)
Cd 0.6667 0.3333 0.7857 (multiplicity 1)
Cd 0.6667 0.3333 0.9286 (multiplicity 1)
I 0.0000 0.0000 0.1252 (multiplicity 1)
I 0.0000 0.0000 0.2680 (multiplicity 1)
I 0.0000 0.0000 0.4823 (multiplicity 1)
I 0.0000 0.0000 0.6252 (multiplicity 1)
I 0.0000 0.0000 0.7680 (multiplicity 1)
I 0.0000 0.0000 0.9109 (multiplicity 1)
I 0.3333 0.6667 0.0177 (multiplicity 1)
I 0.3333 0.6667 0.0891 (multiplicity 1)
I 0.3333 0.6667 0.1605 (multiplicity 1)
I 0.3333 0.6667 0.2320 (multiplicity 1)
I 0.3333 0.6667 0.3034 (multiplicity 1)
I 0.3333 0.6667 0.3748 (multiplicity 1)
I 0.3333 0.6667 0.4463 (multiplicity 1)
I 0.3333 0.6667 0.5177 (multiplicity 1)
I 0.3333 0.6667 0.5891 (multiplicity 1)
I 0.3333 0.6667 0.6605 (multiplicity 1)
I 0.3333 0.6667 0.7320 (multiplicity 1)
I 0.3333 0.6667 0.8034 (multiplicity 1)
I 0.3333 0.6667 0.8749 (multiplicity 1)
I 0.3333 0.6667 0.9463 (multiplicity 1)
I 0.6667 0.3333 0.0537 (multiplicity 1)
I 0.6667 0.3333 0.1966 (multiplicity 1)
I 0.6667 0.3333 0.3395 (multiplicity 1)
I 0.6667 0.3333 0.4109 (multiplicity 1)
I 0.6667 0.3333 0.5538 (multiplicity 1)
I 0.6667 0.3333 0.6966 (multiplicity 1)
I 0.6667 0.3333 0.8395 (multiplicity 1)
I 0.6667 0.3333 0.9823 (multiplicity 1)

Summary:
**DFT total energy**: -79.79 eV for the cell shown

Entry 8:
Material: CdI2
Method: DFT, GGA-PBE
State: optimized geometry

Cell lengths 4.2908, 4.2908, 104.6386 Å; angles 90.00, 90.00, 120.00 degrees
Space group R-3m (No. 166, hexagonal axes)
Symmetry-distinct sites (fractional):
Cd 0.0000 0.0000 0.0000 (multiplicity 3)
Cd 0.0000 0.0000 0.4000 (multiplicity 6)
Cd 0.0000 0.0000 0.4667 (multiplicity 6)
I 0.0000 0.0000 0.0832 (multiplicity 6)
I 0.0000 0.0000 0.1498 (multiplicity 6)
I 0.0000 0.0000 0.2165 (multiplicity 6)
I 0.0000 0.0000 0.2832 (multiplicity 6)
I 0.0000 0.0000 0.3498 (multiplicity 6)

Summary:
**DFT total energy**: -85.48 eV for the cell shown

Entry 9:
Material: CdI2
Method: DFT, GGA-PBE
State: optimized geometry

Cell lengths 4.2879, 4.2879, 229.9710 Å; angles 90.00, 90.00, 120.00 degrees
Space group R3m (No. 160, hexagonal axes)
Symmetry-distinct sites (fractional):
Cd 0.0000 0.0000 0.0000 (multiplicity 3)
Cd 0.0000 0.0000 0.0303 (multiplicity 3)
Cd 0.0000 0.0000 0.0606 (multiplicity 3)
Cd 0.0000 0.0000 0.1212 (multiplicity 3)
Cd 0.0000 0.0000 0.1818 (multiplicity 3)
Cd 0.0000 0.0000 0.2424 (multiplicity 3)
Cd 0.0000 0.0000 0.2727 (multiplicity 3)
Cd 0.0000 0.0000 0.6364 (multiplicity 3)
Cd 0.0000 0.0000 0.7576 (multiplicity 3)
Cd 0.0000 0.0000 0.8182 (multiplicity 3)
Cd 0.0000 0.0000 0.8788 (multiplicity 3)
I 0.0000 0.0000 0.0984 (multiplicity 3)
I 0.0000 0.0000 0.1590 (multiplicity 3)
I 0.0000 0.0000 0.2196 (multiplicity 3)
I 0.0000 0.0000 0.2955 (multiplicity 3)
I 0.0000 0.0000 0.3258 (multiplicity 3)
I 0.0000 0.0000 0.3561 (multiplicity 3)
I 0.0000 0.0000 0.3864 (multiplicity 3)
I 0.0000 0.0000 0.4168 (multiplicity 3)
I 0.0000 0.0000 0.4470 (multiplicity 3)
I 0.0000 0.0000 0.4773 (multiplicity 3)
I 0.0000 0.0000 0.5077 (multiplicity 3)
I 0.0000 0.0000 0.5380 (multiplicity 3)
I 0.0000 0.0000 0.5683 (multiplicity 3)
I 0.0000 0.0000 0.5986 (multiplicity 3)
I 0.0000 0.0000 0.6742 (multiplicity 3)
I 0.0000 0.0000 0.7045 (multiplicity 3)
I 0.0000 0.0000 0.7348 (multiplicity 3)
I 0.0000 0.0000 0.7954 (multiplicity 3)
I 0.0000 0.0000 0.8560 (multiplicity 3)
I 0.0000 0.0000 0.9166 (multiplicity 3)
I 0.0000 0.0000 0.9469 (multiplicity 3)
I 0.0000 0.0000 0.9772 (multiplicity 3)

Summary:
**DFT total energy**: -188.01 eV for the cell shown

Entry 10:
Material: CdI2
Method: DFT, GGA-PBE
State: optimized geometry

Cell lengths 12.910, 12.910, 12.910 Å; angles 90.00, 90.00, 90.00 degrees
Space group Fd-3m (No. 227, origin choice 2)
Symmetry-distinct sites (fractional):
Cd 0.125 0.125 0.125 (multiplicity 8)
I 0.000 0.000 0.000 (multiplicity 16)

Summary:
**DFT total energy**: -41.26 eV for the cell shown

Entry 11:
Material: CdI6
Method: DFT, GGA-PBE
State: optimized geometry

Cell lengths 6.513, 7.986, 8.127 Å; angles 63.44, 86.39, 86.25 degrees
Space group P-1 (No. 2)
Symmetry-distinct sites (fractional):
Cd 0.000 0.000 0.000 (multiplicity 1)
I 0.107 0.417 0.898 (multiplicity 2)
I 0.215 0.844 0.335 (multiplicity 2)
I 0.296 0.163 0.674 (multiplicity 2)

Summary:
**DFT total energy**: -11.19 eV for the cell shown

Entry 12:
Material: CdI2
Method: DFT, GGA-PBE
State: optimized geometry

Cell lengths 4.3005, 4.3005, 191.2479 Å; angles 90.00, 90.00, 120.00 degrees
Space group R3m (No. 160, hexagonal axes)
Symmetry-distinct sites (fractional):
Cd 0.0000 0.0000 0.0000 (multiplicity 3)
Cd 0.0000 0.0000 0.0370 (multiplicity 3)
Cd 0.0000 0.0000 0.0741 (multiplicity 3)
Cd 0.0000 0.0000 0.1111 (multiplicity 3)
Cd 0.0000 0.0000 0.1482 (multiplicity 3)
Cd 0.0000 0.0000 0.2222 (multiplicity 3)
Cd 0.0000 0.0000 0.5926 (multiplicity 3)
Cd 0.0000 0.0000 0.6296 (multiplicity 3)
Cd 0.0000 0.0000 0.8519 (multiplicity 3)
I 0.0000 0.0000 0.1761 (multiplicity 3)
I 0.0000 0.0000 0.2683 (multiplicity 3)
I 0.0000 0.0000 0.3054 (multiplicity 3)
I 0.0000 0.0000 0.3424 (multiplicity 3)
I 0.0000 0.0000 0.3794 (multiplicity 3)
I 0.0000 0.0000 0.4165 (multiplicity 3)
I 0.0000 0.0000 0.4535 (multiplicity 3)
I 0.0000 0.0000 0.4905 (multiplicity 3)
I 0.0000 0.0000 0.5276 (multiplicity 3)
I 0.0000 0.0000 0.5646 (multiplicity 3)
I 0.0000 0.0000 0.6576 (multiplicity 3)
I 0.0000 0.0000 0.6947 (multiplicity 3)
I 0.0000 0.0000 0.7317 (multiplicity 3)
I 0.0000 0.0000 0.7687 (multiplicity 3)
I 0.0000 0.0000 0.8058 (multiplicity 3)
I 0.0000 0.0000 0.8798 (multiplicity 3)
I 0.0000 0.0000 0.9169 (multiplicity 3)
I 0.0000 0.0000 0.9539 (multiplicity 3)

Summary:
**DFT total energy**: -154.15 eV for the cell shown

Entry 13:
Material: CdI2
Method: DFT, GGA-PBE
State: optimized geometry

Cell lengths 4.2891, 4.2891, 83.7291 Å; angles 90.00, 90.00, 120.00 degrees
Space group P6_3mc (No. 186)
Symmetry-distinct sites (fractional):
Cd 0.3333 0.6667 0.0000 (multiplicity 2)
Cd 0.3333 0.6667 0.0833 (multiplicity 2)
Cd 0.3333 0.6667 0.2500 (multiplicity 2)
Cd 0.3333 0.6667 0.4167 (multiplicity 2)
Cd 0.3333 0.6667 0.6667 (multiplicity 2)
Cd 0.3333 0.6667 0.8333 (multiplicity 2)
I 0.0000 0.0000 0.0206 (multiplicity 2)
I 0.0000 0.0000 0.1040 (multiplicity 2)
I 0.0000 0.0000 0.1873 (multiplicity 2)
I 0.0000 0.0000 0.2706 (multiplicity 2)
I 0.0000 0.0000 0.3540 (multiplicity 2)
I 0.0000 0.0000 0.4373 (multiplicity 2)
I 0.3333 0.6667 0.1461 (multiplicity 2)
I 0.3333 0.6667 0.3127 (multiplicity 2)
I 0.3333 0.6667 0.4794 (multiplicity 2)
I 0.3333 0.6667 0.5627 (multiplicity 2)
I 0.3333 0.6667 0.7294 (multiplicity 2)
I 0.3333 0.6667 0.8961 (multiplicity 2)

Summary:
**DFT total energy**: -68.38 eV for the cell shown

Entry 14:
Material: Cd2I
Method: DFT, GGA-PBE
State: optimized geometry

Cell lengths 7.600, 7.600, 4.834 Å; angles 90.00, 90.00, 90.00 degrees
Space group P4_2/mnm (No. 136)
Symmetry-distinct sites (fractional):
Cd 0.205 0.205 0.000 (multiplicity 4)
I 0.000 0.000 0.500 (multiplicity 2)

Summary:
**Energy above the lowest structure with this stoichiometry**: 0.391 eV/atom